[1]
# Ca3WN | Alexandria | PBE | optimized geometry
# M_tot ... 0.466 μB per atom
# Relative energy among the computed polymorphs ... 7.19 eV per formula unit
# Space-group type ... Pm-3m, No. 221
# Formation energy (no corrections) ... 1.854 eV per atom
data_Ca3WN
_chemical_formula_sum 'Ca3 W1 N1'
_space_group_name_H-M_alt 'P 1'
_space_group_IT_number 1
_cell_length_a 5.460
_cell_length_b 5.460
_cell_length_c 5.460
_cell_angle_alpha 90.00
_cell_angle_beta 90.00
_cell_angle_gamma 90.00
loop_
_space_group_symop_operation_xyz
'x,y,z'
loop_
_atom_site_label
_atom_site_fract_x
_atom_site_fract_y
_atom_site_fract_z
Ca1 0.500 0.000 0.000
Ca2 0.000 0.500 0.000
Ca3 0.000 0.000 0.500
W1 0.000 0.000 0.000
N1 0.500 0.500 0.500


[2]
# Li2Cd2Ge | Alexandria | PBE | optimized geometry
# Formation enthalpy at 0 K ... -160 meV/atom
# M_tot ... 0.000 μB per atom
# Relative energy among the computed polymorphs ... 0.00 eV per formula unit
# Space-group type ... Imma, No. 74
data_Li2Cd2Ge
_chemical_formula_sum 'Li4 Cd4 Ge2'
_space_group_name_H-M_alt 'P 1'
_space_group_IT_number 1
_cell_length_a 4.544
_cell_length_b 2.873
_cell_length_c 14.940
_cell_angle_alpha 95.52
_cell_angle_beta 98.75
_cell_angle_gamma 90.00
loop_
_space_group_symop_operation_xyz
'x,y,z'
loop_
_atom_site_label
_atom_site_fract_x
_atom_site_fract_y
_atom_site_fract_z
Cd1 0.091 0.841 0.182
Cd2 0.909 0.159 0.818
Cd3 0.456 0.706 0.911
Cd4 0.544 0.294 0.089
Li1 0.271 0.021 0.543
Li2 0.644 0.894 0.288
Li3 0.356 0.106 0.712
Li4 0.729 0.979 0.457
Ge1 0.815 0.565 0.629
Ge2 0.185 0.435 0.371


[3]
# SrGe2Au7 | Alexandria | PBE | optimized geometry
# Formation enthalpy at 0 K ... -141 meV/atom
# M_tot ... 0.000 μB per atom
# Space-group type ... Cmmm, No. 65
data_SrGe2Au7
_chemical_formula_sum 'Sr1 Ge2 Au7'
_space_group_name_H-M_alt 'P 1'
_space_group_IT_number 1
_cell_length_a 4.935
_cell_length_b 7.455
_cell_length_c 7.455
_cell_angle_alpha 118.87
_cell_angle_beta 90.00
_cell_angle_gamma 90.00
loop_
_space_group_symop_operation_xyz
'x,y,z'
loop_
_atom_site_label
_atom_site_fract_x
_atom_site_fract_y
_atom_site_fract_z
Au1 0.000 0.755 0.245
Au2 0.500 0.500 0.500
Au3 0.500 0.698 0.931
Au4 0.000 0.245 0.755
Au5 0.500 0.302 0.069
Au6 0.500 0.931 0.698
Au7 0.500 0.069 0.302
Ge1 0.500 0.704 0.296
Ge2 0.500 0.296 0.704
Sr1 0.000 0.000 0.000


[4]
# SrLi2Si | Alexandria | PBE | optimized geometry
# M_tot ... 0.000 μB per atom
# Space-group type ... P4mm, No. 99
# Formation energy (no corrections) ... -0.059 eV per atom
data_SrLi2Si
_chemical_formula_sum 'Sr1 Li2 Si1'
_space_group_name_H-M_alt 'P 1'
_space_group_IT_number 1
_cell_length_a 3.553
_cell_length_b 3.555
_cell_length_c 7.651
_cell_angle_alpha 90.00
_cell_angle_beta 90.00
_cell_angle_gamma 90.00
loop_
_space_group_symop_operation_xyz
'x,y,z'
loop_
_atom_site_label
_atom_site_fract_x
_atom_site_fract_y
_atom_site_fract_z
Si1 0.000 0.000 0.433
Sr1 0.500 0.500 0.705
Li1 0.500 0.500 0.280
Li2 0.000 0.000 0.082


[5]
# HoSnAu2 | Alexandria | PBE | optimized geometry
# Formation enthalpy at 0 K ... -688 meV/atom
# M_tot ... 0.000 μB per atom
# Space-group type ... Fm-3m, No. 225
data_HoSnAu2
_chemical_formula_sum 'Ho1 Sn1 Au2'
_space_group_name_H-M_alt 'P 1'
_space_group_IT_number 1
_cell_length_a 4.966
_cell_length_b 4.966
_cell_length_c 4.966
_cell_angle_alpha 60.00
_cell_angle_beta 60.00
_cell_angle_gamma 60.00
loop_
_space_group_symop_operation_xyz
'x,y,z'
loop_
_atom_site_label
_atom_site_fract_x
_atom_site_fract_y
_atom_site_fract_z
Au1 0.500 0.500 0.500
Au2 0.000 0.000 0.000
Sn1 0.750 0.750 0.750
Ho1 0.250 0.250 0.250


[6]
# CsAsPO | Alexandria | PBE | optimized geometry
# M_tot ... 0.000 μB per atom
# Relative energy among the computed polymorphs ... 0.00 eV per formula unit
# Space-group type ... P1, No. 1
# Formation energy (no corrections) ... -0.943 eV per atom
data_CsAsPO
_chemical_formula_sum 'Cs1 As1 P1 O1'
_space_group_name_H-M_alt 'P 1'
_space_group_IT_number 1
_cell_length_a 3.663
_cell_length_b 3.896
_cell_length_c 7.275
_cell_angle_alpha 77.16
_cell_angle_beta 76.71
_cell_angle_gamma 79.07
loop_
_space_group_symop_operation_xyz
'x,y,z'
loop_
_atom_site_label
_atom_site_fract_x
_atom_site_fract_y
_atom_site_fract_z
O1 0.360 0.758 0.502
As1 0.640 0.027 0.844
P1 0.273 0.705 0.726
Cs1 0.929 0.323 0.281


Number 1: E_tot -18.013 eV for the cell shown. Number 2: E_tot -22.153 eV for the cell shown. Number 3: E_tot -35.267 eV for the cell shown. Number 4: E_tot -11.170 eV for the cell shown. Number 5: E_tot -17.888 eV for the cell shown. Number 6: E_tot -19.642 eV for the cell shown.